# Ac3Pm2Pr3 (PBE, relaxed)
data_Ac3Pm2Pr3
_space_group_name_H-M_alt 'I m m m'
_space_group_IT_number 71
_space_group_name_Hall '-I 2 2'
_cell_length_a 5.335
_cell_length_b 5.410
_cell_length_c 21.525
_cell_angle_alpha 90.00
_cell_angle_beta 90.00
_cell_angle_gamma 90.00
loop_
_atom_site_label
_atom_site_type_symbol
_atom_site_fract_x
_atom_site_fract_y
_atom_site_fract_z
Ac1 Ac 0.000 0.000 0.000
Ac2 Ac 0.000 0.500 0.128
Pm1 Pm 0.000 0.000 0.249
Pr1 Pr 0.000 0.000 0.500
Pr2 Pr 0.000 0.500 0.371
# Excess energy over the best structure of this formula in the dataset = 0 meV per atom
# Total energy = -71.89 eV/cell
# Energy of formation = 0.027 eV per atom
# N(E_F) = 14.084 states/eV/f.u.